[1]
Here is a geometry-optimized Rb2BaTlBi2 structure from Alexandria. Energies are from PBE-GGA.

The structure belongs to space group Pmc2_1 (No. 26); the cell edges are 5.328, 10.574 and 9.302 Å and the angles 90.00°, 90.00° and 90.00°. The asymmetric unit holds Rb at (0.000, 0.087, 0.000), Rb at (0.500, 0.168, 0.327), Ba at (0.500, 0.456, 0.961), Tl at (0.000, 0.322, 0.615), Bi at (0.000, 0.399, 0.245) and Bi at (0.500, 0.182, 0.722).

Its total energy is -2.8162 eV/atom.



[2]
Here is a geometry-optimized Ca2IrCI structure from Alexandria. Energies are from PBE-GGA.

The structure belongs to space group P4/mmm (No. 123); the cell edges are 5.379, 5.379 and 3.884 Å and the angles 90.00°, 90.00° and 90.00°. The asymmetric unit holds Ca at (0.000, 0.500, 0.000), Ir at (0.000, 0.000, 0.500), C at (0.000, 0.000, 0.000) and I at (0.500, 0.500, 0.500).

Its total energy is -5.2753 eV/atom. The formation energy (no corrections) is -548 meV/atom.



[3]
Here is a geometry-optimized MgOs2Br structure from Alexandria. Energies are from PBE-GGA.

The structure belongs to space group Fm-3m (No. 225); the cell edges are 6.307, 6.307 and 6.307 Å and the angles 90.00°, 90.00° and 90.00°. The asymmetric unit holds Mg at (0.000, 0.000, 0.000), Os at (0.250, 0.250, 0.250) and Br at (0.000, 0.000, 0.500).

Its total energy is -5.1633 eV/atom. The formation energy (no corrections) is 1268 meV/atom.



[4]
Here is a geometry-optimized Al2VCu2 structure from Alexandria. Energies are from PBE-GGA.

The structure belongs to space group P4/mbm (No. 127); the cell edges are 7.146, 7.146 and 2.664 Å and the angles 90.00°, 90.00° and 90.00°. The asymmetric unit holds Al at (0.138, 0.362, 0.000), V at (0.000, 0.000, 0.000) and Cu at (0.161, 0.661, 0.500).

Its total energy is -5.0009 eV/atom.



[5]
Here is a geometry-optimized Mn2AlSn2 structure from Alexandria. Energies are from PBE-GGA.

The structure belongs to space group P4/mbm (No. 127); the cell edges are 7.539, 7.539 and 2.967 Å and the angles 90.00°, 90.00° and 90.00°. The asymmetric unit holds Mn at (0.151, 0.349, 0.000), Al at (0.000, 0.000, 0.500) and Sn at (0.147, 0.647, 0.500).

Its total energy is -5.4870 eV/atom.



[6]
Here is a geometry-optimized NaTlN2 structure from Alexandria. Energies are from PBE-GGA.

The structure belongs to space group Fm-3m (No. 225); the cell edges are 5.993, 5.993 and 5.993 Å and the angles 90.00°, 90.00° and 90.00°. The asymmetric unit holds Na at (0.000, 0.000, 0.000), Tl at (0.000, 0.000, 0.500) and N at (0.250, 0.250, 0.250).

Its total energy is -3.7664 eV/atom. The formation energy (no corrections) is 1318 meV/atom.